This record from the Alexandria database describes crystalline MnVB2 at its relaxed geometry. The functional is PBE.

Cell and atoms, written as extended XYZ:
```
4
Lattice="-2.038 2.236 0.055 -0.682 -0.553 -2.812 -1.720 -3.645 1.134" Properties=species:S:1:pos:R:3 pbc="T T T"
Mn -1.952 -0.812 -0.910
V -3.202 -2.005 1.171
B -2.067 -2.977 -0.457
B -1.022 -2.053 0.652
```

Values from the calculation:
distance to the lowest polymorph of the same formula = 0.0000 eV per atom
magnetization = 0.398 μB/atom
Fermi-level density of states = 2.49 states/eV per cell